## HoLuMgZn (PBE)

Data for a relaxed HoLuMgZn crystal.

Properties
- density (g/cm3) = 7.5

Unit cell a=5.132 b=5.132 c=5.132 alpha=60.00 beta=60.00 gamma=60.00
Positions (direct):
Mg1 0.000 0.000 0.000
Lu1 0.250 0.250 0.250
Zn1 0.500 0.500 0.500
Ho1 0.750 0.750 0.750

---

## HoLuMgZr (PBE)

Data for a relaxed HoLuMgZr crystal.

Properties
- density (g/cm3) = 7.2

Unit cell a=5.301 b=5.301 c=5.301 alpha=60.00 beta=60.00 gamma=60.00
Positions (direct):
Mg1 0.000 0.000 0.000
Lu1 0.250 0.250 0.250
Ho1 0.750 0.750 0.750
Zr1 0.500 0.500 0.500

---

## HoLuMn2 (PBE)

Data for a relaxed HoLuMn2 crystal.

Properties
- relative energy among the computed polymorphs (meV/atom) = 4.4
- density (g/cm3) = 8.9

Unit cell a=3.557 b=4.864 c=4.864 alpha=90.00 beta=90.00 gamma=90.00
Positions (direct):
Lu1 0.500 0.000 0.000
Ho1 0.500 0.500 0.500
Mn1 0.000 0.000 0.500
Mn2 0.000 0.500 0.000

---

## HoLuMn (PBE)

Data for a relaxed HoLuMn crystal.

Properties
- density (g/cm3) = 9.0

Unit cell a=3.437 b=3.437 c=6.658 alpha=104.96 beta=104.96 gamma=90.00
Positions (direct):
Lu1 0.030 0.030 0.060
Ho1 0.305 0.305 0.610
Mn1 0.665 0.665 0.330

---

## HoLuMn4 (PBE)

Data for a relaxed HoLuMn4 crystal.

Properties
- density (g/cm3) = 10.1

Unit cell a=5.060 b=5.060 c=5.060 alpha=60.00 beta=60.00 gamma=60.00
Positions (direct):
Lu1 0.000 0.000 0.000
Ho1 0.250 0.250 0.250
Mn1 0.625 0.625 0.125
Mn2 0.625 0.125 0.625
Mn3 0.625 0.625 0.625
Mn4 0.125 0.625 0.625

---

## HoLu3Mn (PBE)

Data for a relaxed HoLu3Mn crystal.

Properties
- density (g/cm3) = 8.9

Unit cell a=5.178 b=5.178 c=5.178 alpha=90.00 beta=90.00 gamma=90.00
Positions (direct):
Lu1 0.000 0.500 0.000
Lu2 0.000 0.000 0.500
Lu3 0.500 0.000 0.000
Ho1 0.500 0.500 0.500
Mn1 0.000 0.000 0.000

---

## HoLuMn2 (PBE)

Data for a relaxed HoLuMn2 crystal.

Properties
- relative energy among the computed polymorphs (meV/atom) = 0.0
- density (g/cm3) = 8.9

Unit cell a=4.908 b=4.908 c=4.908 alpha=60.00 beta=60.00 gamma=60.00
Positions (direct):
Lu1 0.500 0.500 0.500
Ho1 0.000 0.000 0.000
Mn1 0.250 0.250 0.250
Mn2 0.750 0.750 0.750

---

## HoLuMnRh (PBE)

Data for a relaxed HoLuMnRh crystal.

Properties
- density (g/cm3) = 10.2

Unit cell a=4.851 b=4.851 c=4.851 alpha=60.00 beta=60.00 gamma=60.00
Positions (direct):
Lu1 0.750 0.750 0.750
Rh1 0.000 0.000 0.000
Ho1 0.250 0.250 0.250
Mn1 0.500 0.500 0.500

---

## HoLuMnRu (PBE)

Data for a relaxed HoLuMnRu crystal.

Properties
- density (g/cm3) = 10.3

Unit cell a=4.842 b=4.842 c=4.842 alpha=60.00 beta=60.00 gamma=60.00
Positions (direct):
Ru1 0.250 0.250 0.250
Lu1 0.000 0.000 0.000
Ho1 0.500 0.500 0.500
Mn1 0.750 0.750 0.750

---

## HoLuMnTc (PBE)

Data for a relaxed HoLuMnTc crystal.

Properties
- density (g/cm3) = 10.1

Unit cell a=4.855 b=4.855 c=4.855 alpha=60.00 beta=60.00 gamma=60.00
Positions (direct):
Lu1 0.250 0.250 0.250
Ho1 0.750 0.750 0.750
Mn1 0.000 0.000 0.000
Tc1 0.500 0.500 0.500

---

## HoTmLuMn (PBE)

Data for a relaxed HoTmLuMn crystal.

Properties
- density (g/cm3) = 9.1

Unit cell a=5.268 b=5.268 c=5.268 alpha=60.00 beta=60.00 gamma=60.00
Positions (direct):
Lu1 0.750 0.750 0.750
Tm1 0.000 0.000 0.000
Ho1 0.500 0.500 0.500
Mn1 0.250 0.250 0.250

---

## HoLuMnZn (PBE)

Data for a relaxed HoLuMnZn crystal.

Properties
- density (g/cm3) = 9.0

Unit cell a=4.940 b=4.940 c=4.940 alpha=60.00 beta=60.00 gamma=60.00
Positions (direct):
Zn1 0.250 0.250 0.250
Lu1 0.000 0.000 0.000
Ho1 0.500 0.500 0.500
Mn1 0.750 0.750 0.750

---

Number 1: electronic total energy -3.161 eV per atom. Number 2: electronic total energy -4.677 eV per atom. Number 3: electronic total energy -6.684 eV per atom. Number 4: electronic total energy -5.971 eV per atom. Number 5: electronic total energy -7.560 eV per atom. Number 6: electronic total energy -5.249 eV per atom. Number 7: electronic total energy -6.689 eV per atom. Number 8: electronic total energy -6.735 eV per atom. Number 9: electronic total energy -7.024 eV per atom. Number 10: electronic total energy -7.090 eV per atom. Number 11: electronic total energy -5.416 eV per atom. Number 12: electronic total energy -4.943 eV per atom.